Density functional theory data (GGA-PBE) for a geometry-optimized HgGeB4 structure.

```
HgGeB4
1.0
-2.929 0.561 0.509
1.642 -1.467 2.075
2.216 8.020 3.917
B Ge Hg
4 1 1
Direct
0.333 0.667 0.307
0.333 0.667 0.693
0.667 0.333 0.307
0.667 0.333 0.693
0.000 0.000 0.500
0.000 0.000 0.000
```

VASP energy ... -4.660 eV per atom
Excess energy over the best structure of this formula in the dataset ... 0 meV per atom

Density functional theory data (GGA-PBE) for a geometry-optimized Hg2Ge3B2 structure.

```
Hg2Ge3B2
1.0
-7.335 4.541 4.541
-4.541 4.541 7.335
-4.541 7.335 4.541
Ge B Hg
3 2 2
Direct
0.373 0.373 0.373
0.645 0.645 0.645
0.922 0.922 0.922
0.003 0.003 0.003
0.447 0.447 0.447
0.789 0.789 0.789
0.196 0.196 0.196
```

VASP energy ... -3.221 eV per atom

Density functional theory data (GGA-PBE) for a geometry-optimized GeBIr structure.

```
GeBIr
1.0
-0.479 -3.660 0.909
1.009 -1.251 3.445
-2.668 -1.000 2.516
Ge B Ir
1 1 1
Direct
0.250 0.250 0.250
0.000 0.000 0.000
0.750 0.750 0.750
```

VASP energy ... -6.268 eV per atom
Excess energy over the best structure of this formula in the dataset ... 0 meV per atom
Spin magnetization ... 0.00 μB per formula unit

Density functional theory data (GGA-PBE) for a geometry-optimized GeB4Ir structure.

```
GeB4Ir
1.0
-1.525 2.693 3.465
1.525 -2.693 3.465
1.525 2.693 -3.465
Ge B Ir
1 4 1
Direct
0.000 0.000 0.000
0.084 0.748 0.336
0.587 0.252 0.336
0.916 0.252 0.664
0.413 0.748 0.664
0.500 0.500 0.000
```

VASP energy ... -6.180 eV per atom
Excess energy over the best structure of this formula in the dataset ... 32 meV per atom
Spin magnetization ... 0.00 μB per formula unit

The highest VASP energy belongs to which entry?
Hg2Ge3B2

What is the formula in the fourth record?
GeB4Ir